1.
19
Lattice="7.6879 -2.1890 0.0000 7.6879 2.1890 0.0000 -5.5627 0.0000 16.7131" Properties=species:S:1:pos:R:3 comment="Rb2Ho4Cu4Te9 (GGA-PBE, optimized geometry)" crystal_system=monoclinic total_energy_ev_per_atom=-4.294 m_tot_mub_per_cell=0.00 volume_a3_per_atom=29.61 pbc="T T T"
Te -1.7590 0.0000 12.1441
Cu -4.2184 0.0000 16.3296
Te 11.5720 0.0000 4.5691
Cu 7.3586 0.0000 12.2613
Te 5.1772 0.0000 1.3232
Rb 3.1142 0.0000 12.1395
Ho -0.7252 0.0000 9.3177
Te 0.8474 0.0000 2.1835
Te 8.9375 0.0000 10.0771
Rb 6.6988 0.0000 4.5736
Ho 10.5382 0.0000 7.3954
Cu 2.4544 0.0000 4.4518
Te 4.6358 0.0000 15.3899
Te 8.9656 0.0000 14.5296
Te 4.9065 0.0000 8.3566
Ho -0.8154 0.0000 15.0393
Ho 10.6284 0.0000 1.6738
Cu 14.0314 0.0000 0.3835
Te 0.8754 0.0000 6.6360

2.
8
Lattice="-1.4902 -2.2734 -5.2887 -2.5052 -2.4809 1.7723 -3.3518 3.1056 -0.3905" Properties=species:S:1:pos:R:3 comment="AuN (GGA-PBE, optimized geometry)" crystal_system=orthorhombic polymorph_energy_ev_per_atom=0.000 volume_a3_per_atom=13.45 pbc="T T T"
Au -3.5109 2.3395 -1.6878
Au -1.3311 -1.5073 -3.9914
Au -3.6736 -0.8243 -1.9535
N -3.1270 0.1567 -4.2006
N -4.3834 0.7468 -0.7574
N -2.9638 -2.3955 -3.1495
Au -2.9285 0.3124 0.6909
N -1.7151 0.6755 -1.4786

3.
4
Lattice="2.3620 -4.2641 0.1664 -2.5091 -4.1820 -0.0691 0.1425 -2.8645 -3.9451" Properties=species:S:1:pos:R:3 comment="MgSnTeMo (GGA-PBE, optimized geometry)" crystal_system=cubic polymorph_energy_ev_per_atom=0.000 m_tot_mub_per_cell=0.24 volume_a3_per_atom=20.51 pbc="T T T"
Mo -0.0012 -2.8277 -0.9619
Te -0.0023 -5.6553 -1.9239
Sn 0.0000 0.0000 0.0000
Mg -0.0035 -8.4830 -2.8858

4.
4
Lattice="3.5793 -1.6926 1.0648 2.2465 1.6697 2.9959 0.3671 -1.9234 3.6022" Properties=species:S:1:pos:R:3 comment="CdFeNiB (GGA-PBE, optimized geometry)" crystal_system=cubic polymorph_energy_ev_per_atom=0.000 m_tot_mub_per_cell=2.86 volume_a3_per_atom=12.18 pbc="T T T"
B 0.0000 0.0000 0.0000
Cd 1.5482 -0.4866 1.9157
Ni 3.0965 -0.9731 3.8314
Fe 4.6447 -1.4597 5.7472